A crystal of Si6Ni3Au relaxed with PBEsol. Source: Alexandria via LeMat-Bulk, functional SCAN.

abc: 11.413 11.413 11.413
angles: 18.87 18.87 18.87
Fractional coordinates of all 10 atoms:
1 Si 0.070 0.070 0.070
2 Si 0.213 0.213 0.213
3 Si 0.358 0.358 0.358
4 Si 0.642 0.642 0.642
5 Si 0.787 0.787 0.787
6 Si 0.930 0.930 0.930
7 Ni 0.000 0.000 0.000
8 Ni 0.425 0.425 0.425
9 Ni 0.575 0.575 0.575
10 Au 0.500 0.500 0.500

E   -181.37 eV/cell
Crystal system   trigonal
DOS(E_F)   1.6 states/eV/f.u.